Record 1
# GGA-PBE Na2Mg5Sn4, relaxed
data_Na2Mg5Sn4
_cell_length_a 6.3135
_cell_length_b 10.9766
_cell_length_c 18.1442
_cell_angle_alpha 90.00
_cell_angle_beta 90.00
_cell_angle_gamma 90.00
_space_group_name_H-M_alt 'F m m m'
_space_group_IT_number 69
_space_group_name_Hall '-F 2 2'
loop_
_atom_site_label
_atom_site_type_symbol
_atom_site_fract_x
_atom_site_fract_y
_atom_site_fract_z
Na1 Na 0.0000 0.0000 0.1142
Mg1 Mg 0.0000 0.0000 0.5000
Mg2 Mg 0.2500 0.2500 0.0000
Mg3 Mg 0.2500 0.2500 0.2500
Sn1 Sn 0.0000 0.1437 0.3690
# Calculated formation energy, meV per atom: -46
# M_tot, μB per formula unit: 0.000
# Crystal system: orthorhombic
# Energy, eV per atom: -2.467

=====

Record 2
# GGA-PBE Pm2Pd2Au15, relaxed
data_Pm2Pd2Au15
_cell_length_a 9.5511
_cell_length_b 9.5511
_cell_length_c 14.3321
_cell_angle_alpha 90.00
_cell_angle_beta 90.00
_cell_angle_gamma 120.00
_space_group_name_H-M_alt 'R -3 m'
_space_group_IT_number 166
_space_group_name_Hall '-R 3 2"'
loop_
_atom_site_label
_atom_site_type_symbol
_atom_site_fract_x
_atom_site_fract_y
_atom_site_fract_z
Pm1 Pm 0.0000 0.0000 0.1856
Pd1 Pd 0.0000 0.0000 0.3981
Au1 Au 0.0000 0.2985 0.5000
Au2 Au 0.0000 0.5000 0.0000
Au3 Au 0.0101 0.5051 0.6448
# Calculated formation energy, meV per atom: -274
# M_tot, μB per formula unit: 0.000
# Crystal system: trigonal
# Energy, eV per atom: -3.908

=====

Record 3
# GGA-PBE KTlSn, relaxed
data_KTlSn
_cell_length_a 14.8512
_cell_length_b 4.4524
_cell_length_c 6.9541
_cell_angle_alpha 90.00
_cell_angle_beta 102.09
_cell_angle_gamma 90.00
_space_group_name_H-M_alt 'C 1 2/m 1'
_space_group_IT_number 12
loop_
_space_group_symop_operation_xyz
'x,y,z'
'-x,-y,-z'
'-x,y,-z'
'x,-y,z'
'x+1/2,y+1/2,z'
'-x+1/2,-y+1/2,-z'
'-x+1/2,y+1/2,-z'
'x+1/2,-y+1/2,z'
loop_
_atom_site_label
_atom_site_type_symbol
_atom_site_fract_x
_atom_site_fract_y
_atom_site_fract_z
K1 K 0.1179 0.0000 0.3418
Tl1 Tl 0.0756 0.5000 0.8371
Sn1 Sn 0.2336 0.0000 0.8506
# Calculated formation energy, meV per atom: -165
# M_tot, μB per formula unit: 0.000
# Crystal system: monoclinic
# Energy, eV per atom: -2.654

=====

Record 4
# GGA-PBE Li5Pd3I12, relaxed
data_Li5Pd3I12
_cell_length_a 18.0627
_cell_length_b 18.0627
_cell_length_c 18.0627
_cell_angle_alpha 90.00
_cell_angle_beta 90.00
_cell_angle_gamma 90.00
_space_group_name_H-M_alt 'I a -3 d'
_space_group_IT_number 230
_space_group_name_Hall '-I 4bd 2c 3'
loop_
_atom_site_label
_atom_site_type_symbol
_atom_site_fract_x
_atom_site_fract_y
_atom_site_fract_z
Li1 Li 0.0000 0.0000 0.0000
Li2 Li 0.0000 0.2500 0.3750
Pd1 Pd 0.0000 0.2500 0.1250
I1 I 0.0050 0.0333 0.1630
# M_tot, μB per formula unit: 0.000
# Crystal system: cubic
# Energy, eV per atom: -2.593
# E_form (uncorrected), eV per atom: -0.41

=====

Record 5
# GGA-PBE LaThIrBr, relaxed
data_LaThIrBr
_cell_length_a 4.2074
_cell_length_b 4.2074
_cell_length_c 24.0358
_cell_angle_alpha 90.00
_cell_angle_beta 90.00
_cell_angle_gamma 120.00
_space_group_name_H-M_alt 'R 3 m'
_space_group_IT_number 160
_space_group_name_Hall 'R 3 -2"'
loop_
_atom_site_label
_atom_site_type_symbol
_atom_site_fract_x
_atom_site_fract_y
_atom_site_fract_z
La1 La 0.0000 0.0000 0.0000
Th1 Th 0.0000 0.0000 0.7924
Ir1 Ir 0.0000 0.0000 0.4011
Br1 Br 0.0000 0.0000 0.2277
# M_tot, μB per formula unit: 0.000
# Crystal system: trigonal
# Energy, eV per atom: -6.854
# E_form (uncorrected), eV per atom: -1.13

=====

Record 6
# GGA-PBE PmInCuSn, relaxed
data_PmInCuSn
_cell_length_a 7.2683
_cell_length_b 7.2683
_cell_length_c 7.2683
_cell_angle_alpha 90.00
_cell_angle_beta 90.00
_cell_angle_gamma 90.00
_space_group_name_H-M_alt 'F -4 3 m'
_space_group_IT_number 216
_space_group_name_Hall 'F -4 2 3'
loop_
_atom_site_label
_atom_site_type_symbol
_atom_site_fract_x
_atom_site_fract_y
_atom_site_fract_z
Pm1 Pm 0.0000 0.0000 0.0000
In1 In 0.0000 0.0000 0.5000
Cu1 Cu 0.2500 0.2500 0.7500
Sn1 Sn 0.2500 0.2500 0.2500
# Calculated formation energy, meV per atom: -135
# M_tot, μB per formula unit: 0.000
# Crystal system: cubic
# Energy, eV per atom: -4.032

=====

Record 7
# GGA-PBE Ta, relaxed
data_Ta
_cell_length_a 5.0032
_cell_length_b 5.0032
_cell_length_c 8.5891
_cell_angle_alpha 90.00
_cell_angle_beta 90.00
_cell_angle_gamma 120.00
_space_group_name_H-M_alt 'P 63 2 2'
_space_group_IT_number 182
_space_group_name_Hall 'P 6c 2c'
loop_
_atom_site_label
_atom_site_type_symbol
_atom_site_fract_x
_atom_site_fract_y
_atom_site_fract_z
Ta1 Ta 0.0000 0.3256 0.0000
Ta2 Ta 0.3333 0.6667 0.2500
# Calculated formation energy, meV per atom: 1325
# M_tot, μB per formula unit: 0.000
# Crystal system: hexagonal
# Energy, eV per atom: -10.528
# Energy above the most stable polymorph in this dataset, meV per atom: 1325

=====

Record 8
# GGA-PBE BIBr, relaxed
data_BIBr
_cell_length_a 4.4511
_cell_length_b 7.4777
_cell_length_c 7.4897
_cell_angle_alpha 99.70
_cell_angle_beta 107.11
_cell_angle_gamma 107.24
_space_group_name_H-M_alt 'P -1'
_space_group_IT_number 2
loop_
_space_group_symop_operation_xyz
'x,y,z'
'-x,-y,-z'
loop_
_atom_site_label
_atom_site_type_symbol
_atom_site_fract_x
_atom_site_fract_y
_atom_site_fract_z
B1 B 0.0008 0.1288 0.3717
I1 I 0.4987 0.7916 0.7074
Br1 Br 0.1834 0.1848 0.6846
# M_tot, μB per formula unit: 0.000
# Crystal system: triclinic
# Energy, eV per atom: -2.891
# E_form (uncorrected), eV per atom: 0.41

=====

Record order is preserved below.
N(E_F): 18.33 20.24 5.29 147.52 8.69 14.72 10.53 1.08 states/eV/cell